## CsBaAgTe2 (GGA-PBE)

Data for a geometry-optimized CsBaAgTe2 structure.

Summary:
formation energy (no corrections): -476 kJ/mol of formula units
symmetry: No. 67
total magnetization: 0.0 μB per cell

abc: 6.064 9.336 10.172
angles: 117.32 90.00 90.00
Fractional positions:
Cs 0.231 0.750 0.500
Cs 0.769 0.250 0.500
Ba 0.500 0.750 0.000
Ba 0.500 0.250 0.000
Ag 0.000 0.000 0.000
Ag 0.000 0.500 0.000
Te 0.736 0.883 0.767
Te 0.736 0.617 0.233
Te 0.264 0.383 0.767
Te 0.264 0.117 0.233


## Cd2NiP (GGA-PBE)

Data for a geometry-optimized Cd2NiP structure.

Summary:
symmetry: No. 216
formation energy from the elements: 34.7 kJ/mol of atoms
total magnetization: 0.0 μB per cell

abc: 4.619 4.619 4.619
angles: 60.00 60.00 60.00
Fractional positions:
Cd 0.000 0.000 0.000
Cd 0.750 0.750 0.750
Ni 0.500 0.500 0.500
P 0.250 0.250 0.250


## KCd2GaAu4 (GGA-PBE)

Data for a geometry-optimized KCd2GaAu4 structure.

Summary:
symmetry: No. 166
formation energy from the elements: -15.5 kJ/mol of atoms
total magnetization: 0.0 μB per cell

abc: 4.712 4.712 10.179
angles: 76.62 76.62 60.00
Fractional positions:
K 0.000 0.000 0.000
Cd 0.758 0.758 0.727
Cd 0.242 0.242 0.273
Ga 0.500 0.500 0.500
Au 0.410 0.410 0.771
Au 0.861 0.861 0.417
Au 0.139 0.139 0.583
Au 0.590 0.590 0.229


## Sc2ReB (GGA-PBE)

Data for a geometry-optimized Sc2ReB structure.

Summary:
symmetry: No. 166
formation energy from the elements: 91.8 kJ/mol of atoms
total magnetization: 0.3 μB per cell

abc: 9.082 9.082 9.082
angles: 19.97 19.97 19.97
Site moments in Bohr magnetons follow the coordinates.
Fractional positions:
Sc 0.909 0.909 0.909  0.09
Sc 0.091 0.091 0.091  0.09
Re 0.500 0.500 0.500  0.01
B 0.000 0.000 0.000  0.03


## LiMn2 (GGA-PBE)

Data for a geometry-optimized LiMn2 structure.

Summary:
symmetry: No. 62
formation energy from the elements: 27.0 kJ/mol of atoms
total magnetization: 2.5 μB per cell

abc: 4.008 4.839 7.374
angles: 90.00 90.00 90.00
Site moments in Bohr magnetons follow the coordinates.
Fractional positions:
Mn 0.250 0.128 0.692  -1.83
Mn 0.750 0.372 0.192  -1.83
Mn 0.250 0.628 0.808  -1.83
Mn 0.750 0.872 0.308  -1.83
Mn 0.250 0.102 0.372  2.40
Mn 0.750 0.398 0.872  2.40
Mn 0.250 0.602 0.128  2.40
Mn 0.750 0.898 0.628  2.40
Li 0.250 0.612 0.470  0.01
Li 0.750 0.888 0.970  0.01
Li 0.250 0.112 0.030  0.01
Li 0.750 0.388 0.530  0.01


## Sc2AlReTc (GGA-PBE)

Data for a geometry-optimized Sc2AlReTc structure.

Summary:
symmetry: No. 123
formation energy from the elements: 64.3 kJ/mol of atoms
total magnetization: 0.0 μB per cell

abc: 5.001 5.001 4.662
angles: 90.00 90.00 90.00
Fractional positions:
Sc 0.000 0.500 0.000
Sc 0.500 0.000 0.000
Re 0.000 0.000 0.000
Tc 0.000 0.000 0.500
Al 0.500 0.500 0.500


Repeat the fifth record exactly.
## LiMn2 (GGA-PBE)

Data for a geometry-optimized LiMn2 structure.

Summary:
symmetry: No. 62
formation energy from the elements: 27.0 kJ/mol of atoms
total magnetization: 2.5 μB per cell

abc: 4.008 4.839 7.374
angles: 90.00 90.00 90.00
Site moments in Bohr magnetons follow the coordinates.
Fractional positions:
Mn 0.250 0.128 0.692  -1.83
Mn 0.750 0.372 0.192  -1.83
Mn 0.250 0.628 0.808  -1.83
Mn 0.750 0.872 0.308  -1.83
Mn 0.250 0.102 0.372  2.40
Mn 0.750 0.398 0.872  2.40
Mn 0.250 0.602 0.128  2.40
Mn 0.750 0.898 0.628  2.40
Li 0.250 0.612 0.470  0.01
Li 0.750 0.888 0.970  0.01
Li 0.250 0.112 0.030  0.01
Li 0.750 0.388 0.530  0.01